[1]
A geometry-optimized HfTlIn2 structure. Source: Alexandria, functional PBE-GGA.

Distance to the lowest polymorph of the same formula ... 0.00 eV per formula unit
E_form ... 0.0777 eV/atom

```
HfTlIn2
1.0
4.570 0.000 0.000
0.000 4.528 0.000
0.000 0.000 4.528
Tl Hf In
1 1 2
direct
0.500 0.500 0.500
0.500 0.000 0.000
0.000 0.000 0.500
0.000 0.500 0.000
```



[2]
A geometry-optimized LiDyHoCr structure. Source: Alexandria, functional PBE-GGA.

E_form ... 0.1688 eV/atom

```
LiDyHoCr
1.0
5.060 0.000 0.000
2.530 4.382 0.000
2.530 1.461 4.132
Cr Li Ho Dy
1 1 1 1
direct
0.500 0.500 0.500
0.000 0.000 0.000
0.750 0.750 0.750
0.250 0.250 0.250
```



[3]
A geometry-optimized AlInAs structure. Source: Alexandria, functional PBE-GGA.

Distance to the lowest polymorph of the same formula ... 0.00 eV per formula unit
E_form ... -0.2084 eV/atom

```
AlInAs
1.0
4.031 0.000 0.000
-2.015 3.491 0.000
0.000 0.000 34.147
As Al In
6 6 6
direct
0.000 0.000 0.520
0.333 0.667 0.187
0.667 0.333 0.854
0.000 0.000 0.284
0.333 0.667 0.951
0.667 0.333 0.617
0.000 0.000 0.593
0.333 0.667 0.260
0.667 0.333 0.926
0.000 0.000 0.829
0.333 0.667 0.495
0.667 0.333 0.162
0.000 0.000 0.749
0.333 0.667 0.416
0.667 0.333 0.082
0.000 0.000 0.362
0.333 0.667 0.029
0.667 0.333 0.695
```



[4]
A geometry-optimized HfINF2 structure. Source: Alexandria, functional PBE-GGA.

Distance to the lowest polymorph of the same formula ... 0.00 eV per formula unit
Formation energy from raw total energies ... -1598 meV per atom

```
HfINF2
1.0
4.194 0.000 0.000
0.000 4.194 0.000
0.000 0.000 4.430
I N Hf F
1 1 1 2
direct
0.500 0.500 0.500
0.000 0.000 0.500
0.000 0.000 0.000
0.000 0.500 0.000
0.500 0.000 0.000
```



[5]
A geometry-optimized BaSr4Tl structure. Source: Alexandria, functional PBE-GGA.

Distance to the lowest polymorph of the same formula ... 1.14 eV per formula unit
E_form ... 0.0573 eV/atom

```
BaSr4Tl
1.0
-5.357 -0.162 -1.733
0.123 -5.629 0.146
-3.398 0.197 10.488
Ba Sr Tl
1 4 1
direct
0.000 0.000 0.000
0.500 0.000 0.678
0.000 0.500 0.678
0.500 0.000 0.322
0.000 0.500 0.322
0.500 0.500 0.500
```



[6]
A geometry-optimized Tb3HoBi3 structure. Source: Alexandria, functional PBE-GGA.

Distance to the lowest polymorph of the same formula ... 0.00 eV per formula unit
E_form ... -0.7379 eV/atom

```
Tb3HoBi3
1.0
-0.623 8.783 3.300
-5.369 2.379 -7.345
-7.695 -2.371 4.857
Tb Ho Bi
12 4 12
direct
0.823 0.323 0.177
0.928 0.928 0.928
0.823 0.677 0.323
0.177 0.823 0.323
0.177 0.177 0.177
0.323 0.823 0.677
0.072 0.428 0.572
0.323 0.177 0.823
0.677 0.323 0.823
0.677 0.677 0.677
0.572 0.072 0.428
0.428 0.572 0.072
0.073 0.573 0.927
0.927 0.073 0.573
0.427 0.427 0.427
0.573 0.927 0.073
0.752 0.626 0.999
0.874 0.001 0.252
0.999 0.752 0.626
0.126 0.501 0.248
0.248 0.126 0.501
0.252 0.874 0.001
0.001 0.252 0.874
0.374 0.499 0.748
0.501 0.248 0.126
0.626 0.999 0.752
0.748 0.374 0.499
0.499 0.748 0.374
```



[7]
A geometry-optimized BaSi2Pd structure. Source: Alexandria, functional PBE-GGA.

Formation energy from raw total energies ... -418 meV per atom

```
BaSi2Pd
1.0
4.941 0.000 0.000
0.000 4.704 0.231
0.000 -0.888 4.625
Ba Si Pd
1 2 1
direct
0.000 0.004 0.996
0.500 0.876 0.483
0.500 0.517 0.124
0.500 0.383 0.617
```



[8]
A geometry-optimized CeNd2Zn2In2 structure. Source: Alexandria, functional PBE-GGA.

E_form ... -0.2625 eV/atom

```
CeNd2Zn2In2
1.0
4.798 0.000 0.000
2.399 4.155 0.000
2.399 1.385 9.274
Ce Nd Zn In
1 2 2 2
direct
0.000 0.000 0.000
0.127 0.127 0.620
0.873 0.873 0.380
0.606 0.606 0.181
0.394 0.394 0.819
0.734 0.734 0.798
0.266 0.266 0.202
```



Going through the records in order, we get raw total energy values of -0.3213, -0.3683, -0.2880, -0.4640, -0.1307, -0.3704, -0.3608, -0.2660 Ry per atom.